No. 1
## WAuBr2 (GGA-PBE)

Data for crystalline WAuBr2 at its relaxed geometry.

Unit cell a=10.6170 b=10.6170 c=10.6170 alpha=17.12 beta=17.12 gamma=17.12
Last column: nearest neighbours and their distance in Å.
Positions (direct):
Br (0.9769, 0.9769, 0.9769)  3 W 2.63
Br (0.5231, 0.5231, 0.5231)  3 W 2.63
Au (0.7500, 0.7500, 0.7500)  6 Au 3.16
W (0.2500, 0.2500, 0.2500)  6 Br 2.63

Computed properties:
For the total magnetization, the calculation gives 0.08 μB per cell. The energy above the lowest structure with this stoichiometry comes out at 203 meV/atom. The density of states at the Fermi level is 1.11 states/eV per atom.

***

No. 2
## Er5BS4 (GGA-PBE)

Data for crystalline Er5BS4 at its relaxed geometry.

Unit cell a=5.4354 b=6.6861 c=6.6861 alpha=80.49 beta=66.02 gamma=66.02
Last column: nearest neighbours and their distance in Å.
Positions (direct):
S (0.8041, 0.7920, 0.6018)  6 Er 2.73-2.87
S (0.5961, 0.6018, 0.2080)  6 Er 2.73-2.87
Er (0.2800, 0.8142, 0.6279)  1 B 2.54, 4 S 2.73-2.78
B (0.0011, 0.0000, 0.0000)  6 Er 2.54-2.72
Er (0.0942, 0.6279, 0.1858)  1 B 2.54, 4 S 2.73-2.78
S (0.4059, 0.3982, 0.7920)  6 Er 2.73-2.87
Er (0.5010, 0.0000, 0.0000)  2 B 2.72, 4 S 2.74
S (0.1979, 0.2080, 0.3982)  6 Er 2.73-2.87
Er (0.9079, 0.3721, 0.8142)  1 B 2.54, 4 S 2.73-2.78
Er (0.7221, 0.1858, 0.3721)  1 B 2.54, 4 S 2.73-2.78

Computed properties:
For the total magnetization, the calculation gives 0.00 μB per cell. Its total energy is -6.31 eV per atom. The density of states at the Fermi level is 0.31 states/eV per atom.

***

No. 3
## Hf2ScTe4 (GGA-PBE)

Data for crystalline Hf2ScTe4 at its relaxed geometry.

Unit cell a=3.9418 b=7.1300 c=7.9788 alpha=117.38 beta=104.30 gamma=90.00
Last column: nearest neighbours and their distance in Å.
Positions (direct):
Hf (0.7496, 0.7992, 0.4992)  6 Te 2.86-3.09
Te (0.3630, 0.6929, 0.7260)  2 Sc 2.96, 3 Hf 2.97-3.09
Te (0.6370, 0.3071, 0.2740)  2 Sc 2.96, 3 Hf 2.97-3.09
Sc (0.0000, 0.0000, 0.0000)  6 Te 2.89-2.96
Te (0.1066, 0.7598, 0.2132)  3 Hf 2.86-2.87, 1 Sc 2.89
Hf (0.2504, 0.2008, 0.5008)  6 Te 2.86-3.09
Te (0.8934, 0.2402, 0.7868)  3 Hf 2.86-2.87, 1 Sc 2.89

Computed properties:
For the total magnetization, the calculation gives 0.00 μB per cell. The energy above the lowest structure with this stoichiometry comes out at 0 meV/atom. The density of states at the Fermi level is 0.55 states/eV per atom.

***

No. 4
## NaGaAu (GGA-PBE)

Data for crystalline NaGaAu at its relaxed geometry.

Unit cell a=4.4694 b=6.5908 c=7.9368 alpha=114.53 beta=106.35 gamma=90.00
Last column: nearest neighbours and their distance in Å.
Positions (direct):
Ga (0.5000, 0.5023, 0.0000)  4 Au 2.65-2.67
Au (0.6826, 0.8252, 0.3651)  4 Ga 2.64-2.67
Na (0.6327, 0.2394, 0.2654)  4 Ga 2.87-3.18, 3 Au 3.12-3.13
Ga (0.1783, 0.5981, 0.3566)  4 Au 2.60-2.67, 1 Na 2.87
Na (0.3673, 0.9739, 0.7346)  4 Ga 2.87-3.18, 3 Au 3.12-3.13
Ga (0.8217, 0.2415, 0.6434)  4 Au 2.60-2.67, 1 Na 2.87
Au (0.3174, 0.4601, 0.6349)  4 Ga 2.64-2.67
Au (0.0000, 0.2863, 0.0000)  4 Ga 2.60-2.65
Na (0.0000, 0.8111, 0.0000)  2 Ga 3.02, 1 Au 3.13

Computed properties:
For the total magnetization, the calculation gives 0.00 μB per cell. Its formation energy from the elements is -273 meV per atom. The density of states at the Fermi level is 0.28 states/eV per atom.

***

No. 5
## Tb3CoSb (GGA-PBE)

Data for crystalline Tb3CoSb at its relaxed geometry.

Unit cell a=4.2200 b=6.6722 c=9.3125 alpha=90.00 beta=90.00 gamma=90.00
Last column: nearest neighbours and their distance in Å.
Positions (direct):
Tb (0.7500, 0.5052, 0.6490)  3 Co 2.75-2.85
Co (0.7500, 0.7500, 0.3980)  7 Tb 2.75-2.85
Tb (0.2500, 0.4948, 0.3510)  3 Co 2.75-2.85
Tb (0.7500, 0.9948, 0.6490)  3 Co 2.75-2.85
Sb (0.7500, 0.2500, 0.1466)  8 Tb 3.06-3.37
Tb (0.7500, 0.7500, 0.0919)  1 Co 2.85, 2 Sb 3.06
Sb (0.2500, 0.7500, 0.8534)  8 Tb 3.06-3.37
Tb (0.2500, 0.0052, 0.3510)  3 Co 2.75-2.85
Co (0.2500, 0.2500, 0.6020)  7 Tb 2.75-2.85
Tb (0.2500, 0.2500, 0.9081)  1 Co 2.85, 2 Sb 3.06

Computed properties:
For the total magnetization, the calculation gives 0.00 μB per cell. The energy above the lowest structure with this stoichiometry comes out at 0 meV/atom. The density of states at the Fermi level is 0.71 states/eV per atom.

***

No. 6
## Sm6Ho2Er (GGA-PBE)

Data for crystalline Sm6Ho2Er at its relaxed geometry.

Unit cell a=3.6383 b=9.9312 c=9.9312 alpha=56.03 beta=90.00 gamma=90.00
Last column: nearest neighbours and their distance in Å.
Positions (direct):
Sm (0.0000, 0.4880, 0.8415)  6 Sm 3.29-3.64, 2 Ho 3.53
Sm (0.0000, 0.1585, 0.5120)  6 Sm 3.29-3.64, 2 Ho 3.53
Sm (0.0000, 0.8415, 0.4880)  6 Sm 3.29-3.64, 2 Ho 3.53
Sm (0.0000, 0.5120, 0.1585)  6 Sm 3.29-3.64, 2 Ho 3.53
Ho (0.5000, 0.8218, 0.8218)  8 Sm 3.53-3.69, 2 Er 3.61-3.62, 2 Ho 3.64
Sm (0.5000, 0.3154, 0.6846)  7 Sm 3.41-3.64, 2 Er 3.46
Er (0.0000, 0.0000, 0.0000)  4 Sm 3.46, 4 Ho 3.61-3.62, 2 Er 3.64
Sm (0.5000, 0.6846, 0.3154)  7 Sm 3.41-3.64, 2 Er 3.46
Ho (0.5000, 0.1782, 0.1782)  8 Sm 3.53-3.69, 2 Er 3.61-3.62, 2 Ho 3.64

Computed properties:
For the total magnetization, the calculation gives 0.00 μB per cell. Its formation energy from the elements is 133 meV per atom. The energy above the lowest structure with this stoichiometry comes out at 0 meV/atom. The density of states at the Fermi level is 1.35 states/eV per atom.

***

No. 7
## Rb3Pm3InO8 (GGA-PBE)

Data for crystalline Rb3Pm3InO8 at its relaxed geometry.

Unit cell a=7.1423 b=7.1430 c=7.8064 alpha=117.23 beta=90.00 gamma=120.00
Last column: nearest neighbours and their distance in Å.
Positions (direct):
O (0.7846, 0.5692, 0.3290)  1 In 2.26, 2 Pm 2.40
Rb (0.0000, 0.5000, 0.0000)  6 O 2.97-2.98
Rb (0.5000, 0.5000, 0.0000)  6 O 2.97-2.98
O (0.2154, 0.9557, 0.6710)  1 In 2.26, 2 Pm 2.40
O (0.7846, 0.0443, 0.3290)  1 In 2.26, 2 Pm 2.40
Pm (0.0000, 0.5000, 0.5000)  6 O 2.37-2.40
O (0.2597, 0.0443, 0.3289)  1 In 2.26, 2 Pm 2.40
Pm (0.5000, 0.5000, 0.5000)  6 O 2.37-2.40
O (0.7403, 0.9557, 0.6711)  1 In 2.26, 2 Pm 2.40
O (0.7253, 0.4506, 0.6758)  3 Pm 2.37
Pm (0.5000, 0.0000, 0.5000)  6 O 2.37-2.40
O (0.2154, 0.4308, 0.6710)  1 In 2.26, 2 Pm 2.40
Rb (0.0000, 0.0000, 0.0000)  6 O 2.97-2.98
In (0.0000, 0.0000, 0.5000)  6 O 2.26
O (0.2747, 0.5494, 0.3242)  3 Pm 2.37

Computed properties:
For the total magnetization, the calculation gives 1.24 μB per cell. Its total energy is -6.24 eV per atom. The density of states at the Fermi level is 1.17 states/eV per atom.

***

No. 8
## BaSc2As (GGA-PBE)

Data for crystalline BaSc2As at its relaxed geometry.

Unit cell a=11.5978 b=11.5978 c=11.5978 alpha=17.22 beta=17.22 gamma=17.22
Last column: nearest neighbours and their distance in Å.
Positions (direct):
Sc (0.0766, 0.0766, 0.0766)  1 As 2.63
Ba (0.5000, 0.5000, 0.5000)  6 Ba 3.47, 6 Sc 3.68
As (0.0000, 0.0000, 0.0000)  2 Sc 2.63
Sc (0.9234, 0.9234, 0.9234)  1 As 2.63

Computed properties:
For the total magnetization, the calculation gives 0.00 μB per cell. Its formation energy from the elements is 317 meV per atom. The density of states at the Fermi level is 1.12 states/eV per atom.

***

No. 9
## AcPm2NdHo5 (GGA-PBE)

Data for crystalline AcPm2NdHo5 at its relaxed geometry.

Unit cell a=8.8249 b=8.8249 c=10.0220 alpha=116.12 beta=116.12 gamma=90.00
Last column: nearest neighbours and their distance in Å.
Positions (direct):
Ac (0.7500, 0.7500, 0.5000)  10 Ho 3.67-3.92
Ho (0.5000, 0.5000, 0.0000)  4 Pm 3.53, 8 Ho 3.78, 2 Ac 3.92
Nd (0.7500, 0.2500, 0.5000)  4 Ho 3.17
Ho (0.5741, 0.6629, 0.7370)  1 Pm 3.03, 1 Nd 3.17
Ac (0.2500, 0.2500, 0.5000)  10 Ho 3.67-3.92
Pm (0.6169, 0.1169, 0.0000)  1 Pm 2.92, 2 Ho 3.03
Ho (0.3371, 0.8371, 0.2630)  1 Pm 3.03, 1 Nd 3.17
Ho (0.0000, 0.0000, 0.0000)  4 Pm 3.53, 8 Ho 3.78, 2 Ac 3.92
Ho (0.4259, 0.3371, 0.2630)  1 Pm 3.03, 1 Nd 3.17
Ho (0.0741, 0.5741, 0.7370)  1 Pm 3.03, 1 Nd 3.17
Ho (0.1629, 0.0741, 0.7370)  1 Pm 3.03, 1 Nd 3.17
Nd (0.2500, 0.7500, 0.5000)  4 Ho 3.17
Pm (0.8831, 0.6169, 0.0000)  1 Pm 2.92, 2 Ho 3.03
Ho (0.6629, 0.1629, 0.7370)  1 Pm 3.03, 1 Nd 3.17
Ho (0.9259, 0.4259, 0.2630)  1 Pm 3.03, 1 Nd 3.17
Ho (0.8371, 0.9259, 0.2630)  1 Pm 3.03, 1 Nd 3.17
Pm (0.3831, 0.8831, 0.0000)  1 Pm 2.92, 2 Ho 3.03
Pm (0.1169, 0.3831, 0.0000)  1 Pm 2.92, 2 Ho 3.03

Computed properties:
For the total magnetization, the calculation gives 0.00 μB per cell. Its formation energy from the elements is 247 meV per atom. The density of states at the Fermi level is 1.10 states/eV per atom.

***

No. 10
## AsRhSe2 (GGA-PBE)

Data for crystalline AsRhSe2 at its relaxed geometry.

Unit cell a=4.6322 b=4.6322 c=4.6322 alpha=60.00 beta=60.00 gamma=60.00
Last column: nearest neighbours and their distance in Å.
Positions (direct):
Rh (0.7500, 0.7500, 0.7500)  4 As 2.84, 4 Se 2.84
Se (0.2500, 0.2500, 0.2500)  4 As 2.84, 4 Se 2.84
Se (0.0000, 0.0000, 0.0000)  4 Se 2.84, 4 Rh 2.84
As (0.5000, 0.5000, 0.5000)  4 Rh 2.84, 4 Se 2.84

Computed properties:
For the total magnetization, the calculation gives 0.00 μB per cell. Its total energy is -4.36 eV per atom. The density of states at the Fermi level is 0.64 states/eV per atom.

***

No. 11
## Be5Te3 (GGA-PBE)

Data for crystalline Be5Te3 at its relaxed geometry.

Unit cell a=9.8032 b=9.9586 c=4.7650 alpha=90.00 beta=90.00 gamma=127.56
Last column: nearest neighbours and their distance in Å.
Positions (direct):
Be (0.0767, 0.9143, 0.2500)  2 Be 1.96-2.13
Te (0.2812, 0.3992, 0.2500)  4 Be 2.42-2.46
Be (0.6932, 0.8314, 0.7500)  2 Be 2.13-2.16, 1 Te 2.34
Te (0.4394, 0.8063, 0.7500)  3 Be 2.34-2.41
Te (0.9338, 0.3312, 0.7500)  5 Be 2.38-2.56
Be (0.9518, 0.9075, 0.7500)  2 Be 1.96-2.16
Te (0.5606, 0.1937, 0.2500)  3 Be 2.34-2.41
Be (0.2072, 0.5564, 0.5086)  2 Be 2.30-2.46, 4 Te 2.41-2.56
Te (0.0662, 0.6688, 0.2500)  5 Be 2.38-2.56
Be (0.9233, 0.0857, 0.7500)  2 Be 1.96-2.13
Be (0.3068, 0.1686, 0.2500)  2 Be 2.13-2.16, 1 Te 2.34
Be (0.7928, 0.4436, 0.0086)  2 Be 2.30-2.46, 4 Te 2.41-2.56
Be (0.2072, 0.5564, 0.9914)  2 Be 2.30-2.46, 4 Te 2.41-2.56
Te (0.7188, 0.6008, 0.7500)  4 Be 2.43-2.46
Be (0.0482, 0.0925, 0.2500)  2 Be 1.96-2.16
Be (0.7928, 0.4436, 0.4914)  2 Be 2.30-2.46, 4 Te 2.41-2.56

Computed properties:
For the total magnetization, the calculation gives 0.00 μB per cell. The energy above the lowest structure with this stoichiometry comes out at 74 meV/atom. The density of states at the Fermi level is 0.04 states/eV per atom.